[1]
## PmHo4Tl (GGA-PBE)

Data for crystalline PmHo4Tl at its relaxed geometry.

Cell: 3.5920 3.5920 14.1987 Å, 90.00 90.00 90.00°
Sites, in units of the cell vectors:
Pm  0.0000  0.0000  0.0000
Ho  0.0000  0.0000  0.3515
Ho  0.0000  0.0000  0.6485
Ho  0.5000  0.5000  0.1783
Ho  0.5000  0.5000  0.8217
Tl  0.5000  0.5000  0.5000

Calculated values
The calculation puts the energy at -4.342 eV/atom. The calculation puts the energy of formation from the pure elements at -0.104 eV/atom. The value obtained for the calculated volume is 30.5 Å³ per atom.



[2]
## PmHo4Tl (GGA-PBE)

Data for crystalline PmHo4Tl at its relaxed geometry.

Cell: 10.9093 10.9093 6.5222 Å, 90.00 90.00 150.51°
Sites, in units of the cell vectors:
Pm  0.0637  0.9363  0.5000
Pm  0.9363  0.0637  0.0000
Ho  0.1388  0.8612  0.0110
Ho  0.2549  0.7451  0.3774
Ho  0.3169  0.6831  0.8551
Ho  0.4596  0.5404  0.6752
Ho  0.5404  0.4596  0.1752
Ho  0.6831  0.3169  0.3551
Ho  0.7451  0.2549  0.8774
Ho  0.8612  0.1388  0.5110
Tl  0.3971  0.6029  0.2515
Tl  0.6029  0.3971  0.7515

Calculated values
The calculation puts the energy at -4.210 eV/atom. The calculation puts the energy of formation from the pure elements at 0.028 eV/atom. The value obtained for the calculated volume is 31.8 Å³ per atom.



[3]
## Pm6Ho2Tm3Tl (GGA-PBE)

Data for crystalline Pm6Ho2Tm3Tl at its relaxed geometry.

Cell: 6.1657 6.1657 11.7242 Å, 95.05 95.05 120.07°
Sites, in units of the cell vectors:
Pm  0.0833  0.4121  0.7498
Pm  0.2451  0.2451  0.2490
Pm  0.4121  0.0833  0.7498
Pm  0.5879  0.9167  0.2502
Pm  0.7549  0.7549  0.7510
Pm  0.9167  0.5879  0.2502
Ho  0.3336  0.6664  0.5000
Ho  0.6664  0.3336  0.5000
Tm  0.1674  0.8326  0.0000
Tm  0.5000  0.5000  0.0000
Tm  0.8326  0.1674  0.0000
Tl  0.0000  0.0000  0.5000

Calculated values
The calculation puts the energy at -4.463 eV/atom. The calculation puts the energy of formation from the pure elements at -0.010 eV/atom. The value obtained for the calculated volume is 31.6 Å³ per atom.



[4]
## PmHo2TmTl4 (GGA-PBE)

Data for crystalline PmHo2TmTl4 at its relaxed geometry.

Cell: 9.3411 9.3411 9.3411 Å, 33.43 33.43 33.43°
Sites, in units of the cell vectors:
Pm  0.0000  0.0000  0.0000
Ho  0.2492  0.2492  0.2492
Ho  0.7508  0.7508  0.7508
Tm  0.5000  0.5000  0.5000
Tl  0.1265  0.1265  0.1265
Tl  0.3767  0.3767  0.3767
Tl  0.6233  0.6233  0.6233
Tl  0.8735  0.8735  0.8735

Calculated values
The calculation puts the energy at -3.811 eV/atom. The calculation puts the energy of formation from the pure elements at -0.331 eV/atom. The value obtained for the calculated volume is 27.5 Å³ per atom.